No. 1
Computed, not measured: a relaxed PmPr8Tm6 crystal at the PBE level of DFT.

a = 9.672 Å, b = 9.672 Å, c = 8.388 Å
α = 54.79°, β = 54.79°, γ = 60.00°
Sites, in units of the cell vectors:
Tm1 0.720 0.410 0.956
Tm2 0.280 0.590 0.044
Tm3 0.085 0.280 0.044
Tm4 0.410 0.915 0.956
Tm5 0.590 0.085 0.044
Tm6 0.915 0.720 0.956
Pr1 0.927 0.360 0.488
Pr2 0.225 0.927 0.488
Pr3 0.360 0.225 0.488
Pr4 0.640 0.775 0.512
Pr5 0.775 0.073 0.512
Pr6 0.073 0.640 0.512
Pr7 0.421 0.421 0.737
Pr8 0.579 0.579 0.263
Pm1 0.000 0.000 0.000

Summary:
ΔE to the lowest computed polymorph: 0.0 meV/atom
Magnetization: 0.00 μB per formula unit
VASP energy: -4.483 eV per atom
Symmetry: R-3 (148)

***

No. 2
Computed, not measured: a relaxed Pm4PrTm6 crystal at the PBE level of DFT.

a = 3.525 Å, b = 10.946 Å, c = 10.946 Å
α = 120.00°, β = 90.00°, γ = 90.00°
Sites, in units of the cell vectors:
Pm1 0.000 0.333 0.667
Pm2 0.500 0.801 0.199
Pm3 0.500 0.801 0.601
Pm4 0.500 0.399 0.199
Tm1 0.000 0.496 0.504
Tm2 0.500 0.172 0.828
Tm3 0.000 0.496 0.991
Tm4 0.500 0.657 0.828
Tm5 0.000 0.009 0.504
Tm6 0.500 0.172 0.343
Pr1 0.000 0.000 0.000

Summary:
ΔE to the lowest computed polymorph: 0.0 meV/atom
Magnetization: 0.00 μB per formula unit
VASP energy: -4.449 eV per atom
Symmetry: P-6m2 (187)

***

No. 3
Computed, not measured: a relaxed PmPr3Tm8 crystal at the PBE level of DFT.

a = 8.357 Å, b = 8.357 Å, c = 8.357 Å
α = 95.14°, β = 117.08°, γ = 117.08°
Sites, in units of the cell vectors:
Pr1 0.500 0.750 0.250
Pr2 0.000 0.500 0.500
Pr3 0.500 0.250 0.750
Tm1 0.489 0.234 0.234
Tm2 0.000 0.766 0.256
Tm3 0.000 0.629 0.880
Tm4 0.749 0.120 0.120
Tm5 0.000 0.256 0.766
Tm6 0.251 0.371 0.371
Tm7 0.511 0.744 0.744
Tm8 0.000 0.880 0.629
Pm1 0.000 0.000 0.000

Summary:
Magnetization: 0.00 μB per formula unit
VASP energy: -3.938 eV per atom
Symmetry: I-42m (121)

***

No. 4
Computed, not measured: a relaxed Pm3Pr8Tm4 crystal at the PBE level of DFT.

a = 6.906 Å, b = 9.452 Å, c = 9.452 Å
α = 81.68°, β = 112.97°, γ = 112.97°
Sites, in units of the cell vectors:
Pr1 0.500 0.246 0.754
Pr2 0.500 0.754 0.246
Pr3 0.242 0.704 0.704
Pr4 0.822 0.758 0.758
Pr5 0.000 0.707 0.293
Pr6 0.178 0.242 0.242
Pr7 0.758 0.296 0.296
Pr8 0.000 0.293 0.707
Tm1 0.500 0.000 0.000
Tm2 0.000 0.000 0.500
Tm3 0.000 0.000 0.000
Tm4 0.000 0.500 0.000
Pm1 0.500 0.000 0.500
Pm2 0.500 0.500 0.500
Pm3 0.500 0.500 0.000

Summary:
Magnetization: 0.00 μB per formula unit
VASP energy: -4.367 eV per atom
Symmetry: C2/m (12)

***

No. 5
Computed, not measured: a relaxed Pm5Pr2Tm5 crystal at the PBE level of DFT.

a = 5.072 Å, b = 8.039 Å, c = 10.785 Å
α = 72.69°, β = 76.40°, γ = 71.61°
Sites, in units of the cell vectors:
Pr1 0.083 0.582 0.252
Pr2 0.917 0.418 0.748
Pm1 0.500 0.500 0.500
Pm2 0.666 0.668 0.001
Pm3 0.586 0.079 0.749
Pm4 0.334 0.332 0.999
Pm5 0.414 0.921 0.251
Tm1 0.000 0.000 0.000
Tm2 0.169 0.162 0.499
Tm3 0.249 0.753 0.749
Tm4 0.751 0.247 0.251
Tm5 0.831 0.838 0.501

Summary:
Magnetization: 0.00 μB per formula unit
VASP energy: -4.618 eV per atom
Symmetry: C2/m (12)

***

No. 6
Computed, not measured: a relaxed Pm5Pr2Tm3 crystal at the PBE level of DFT.

a = 9.608 Å, b = 9.665 Å, c = 11.209 Å
α = 125.81°, β = 125.69°, γ = 68.95°
Sites, in units of the cell vectors:
Pm1 0.602 0.846 0.230
Pm2 0.520 0.270 0.540
Pm3 0.717 0.467 0.934
Pm4 0.981 0.231 0.462
Pm5 0.480 0.730 0.460
Pm6 0.398 0.154 0.770
Pm7 0.873 0.617 0.770
Pm8 0.127 0.383 0.230
Pm9 0.019 0.769 0.538
Pm10 0.283 0.533 0.066
Pr1 0.530 0.265 0.245
Pr2 0.470 0.735 0.755
Pr3 0.214 0.980 0.245
Pr4 0.786 0.020 0.755
Tm1 0.994 0.223 0.763
Tm2 0.775 0.025 0.051
Tm3 0.268 0.540 0.763
Tm4 0.732 0.460 0.237
Tm5 0.006 0.777 0.237
Tm6 0.225 0.975 0.949

Summary:
Magnetization: 0.00 μB per formula unit
VASP energy: -4.488 eV per atom
Symmetry: C2/c (15)

***

No. 7
Computed, not measured: a relaxed PmPrTm2 crystal at the PBE level of DFT.

a = 9.291 Å, b = 9.252 Å, c = 9.252 Å
α = 85.39°, β = 133.86°, γ = 133.86°
Sites, in units of the cell vectors:
Tm1 0.752 0.418 0.083
Tm2 0.748 0.917 0.582
Tm3 0.252 0.083 0.418
Tm4 0.248 0.582 0.917
Pr1 0.250 0.415 0.585
Pr2 0.750 0.585 0.415
Pm1 0.250 0.914 0.086
Pm2 0.750 0.086 0.914

Summary:
ΔE to the lowest computed polymorph: 0.9 meV/atom
Magnetization: 0.00 μB per formula unit
VASP energy: -4.599 eV per atom
Symmetry: C2/c (15)

***

No. 8
Computed, not measured: a relaxed Pm2Pr6Tm3 crystal at the PBE level of DFT.

a = 6.637 Å, b = 6.829 Å, c = 15.224 Å
α = 54.00°, β = 51.30°, γ = 87.18°
Sites, in units of the cell vectors:
Pr1 0.069 0.173 0.529
Pr2 0.199 0.660 0.709
Pr3 0.265 0.808 0.197
Pr4 0.931 0.827 0.471
Pr5 0.801 0.340 0.291
Pr6 0.735 0.192 0.803
Tm1 0.557 0.791 0.359
Tm2 0.000 0.000 0.000
Tm3 0.443 0.209 0.641
Pm1 0.642 0.458 0.077
Pm2 0.358 0.542 0.923

Summary:
ΔE to the lowest computed polymorph: 0.0 meV/atom
Magnetization: 0.00 μB per formula unit
VASP energy: -4.606 eV per atom
Symmetry: P-1 (2)

***

No. 9
Computed, not measured: a relaxed Pm8PrTm5 crystal at the PBE level of DFT.

a = 8.532 Å, b = 8.531 Å, c = 8.532 Å
α = 111.65°, β = 105.20°, γ = 111.65°
Sites, in units of the cell vectors:
Tm1 0.276 0.093 0.961
Tm2 0.868 0.907 0.183
Tm3 0.039 0.315 0.132
Tm4 0.500 0.000 0.500
Tm5 0.817 0.685 0.724
Pm1 0.572 0.914 0.838
Pm2 0.725 0.256 0.329
Pm3 0.073 0.744 0.468
Pm4 0.532 0.605 0.275
Pm5 0.342 0.266 0.428
Pm6 0.924 0.086 0.658
Pm7 0.162 0.734 0.076
Pm8 0.671 0.395 0.927
Pr1 0.250 0.500 0.750

Summary:
Magnetization: 0.00 μB per formula unit
VASP energy: -4.414 eV per atom
Symmetry: I-4 (82)

***

No. 10
Computed, not measured: a relaxed PmPrTm14 crystal at the PBE level of DFT.

a = 6.874 Å, b = 6.874 Å, c = 11.010 Å
α = 90.00°, β = 90.00°, γ = 108.31°
Sites, in units of the cell vectors:
Tm1 0.348 0.652 0.769
Tm2 0.414 0.166 0.246
Tm3 0.348 0.652 0.231
Tm4 0.106 0.894 0.000
Tm5 0.039 0.372 0.000
Tm6 0.625 0.785 0.500
Tm7 0.555 0.445 0.000
Tm8 0.834 0.586 0.246
Tm9 0.414 0.166 0.754
Tm10 0.901 0.099 0.737
Tm11 0.215 0.375 0.500
Tm12 0.628 0.961 0.000
Tm13 0.834 0.586 0.754
Tm14 0.901 0.099 0.263
Pr1 0.142 0.858 0.500
Pm1 0.698 0.302 0.500

Summary:
Magnetization: 0.00 μB per formula unit
VASP energy: -4.448 eV per atom
Symmetry: Amm2 (38)

***

No. 11
Computed, not measured: a relaxed Pm6PrTm12 crystal at the PBE level of DFT.

a = 8.593 Å, b = 8.593 Å, c = 8.593 Å
α = 79.70°, β = 79.70°, γ = 79.70°
Sites, in units of the cell vectors:
Tm1 0.485 0.485 0.804
Tm2 0.485 0.804 0.485
Tm3 0.804 0.485 0.485
Tm4 0.138 0.480 0.138
Tm5 0.138 0.138 0.480
Tm6 0.480 0.138 0.138
Tm7 0.520 0.862 0.862
Tm8 0.515 0.196 0.515
Tm9 0.862 0.862 0.520
Tm10 0.862 0.520 0.862
Tm11 0.196 0.515 0.515
Tm12 0.515 0.515 0.196
Pm1 0.165 0.769 0.769
Pm2 0.231 0.835 0.231
Pm3 0.231 0.231 0.835
Pm4 0.835 0.231 0.231
Pm5 0.769 0.165 0.769
Pm6 0.769 0.769 0.165
Pr1 0.000 0.000 0.000

Summary:
ΔE to the lowest computed polymorph: 93.7 meV/atom
Magnetization: 0.00 μB per formula unit
VASP energy: -4.460 eV per atom
Symmetry: R-3m (166)

***

No. 12
Computed, not measured: a relaxed PmPr6Tm5 crystal at the PBE level of DFT.

a = 5.156 Å, b = 10.063 Å, c = 9.567 Å
α = 121.76°, β = 105.66°, γ = 89.96°
Sites, in units of the cell vectors:
Tm1 0.333 0.333 0.666
Tm2 0.667 0.667 0.334
Tm3 0.332 0.832 0.665
Tm4 0.000 0.500 0.000
Tm5 0.668 0.168 0.335
Pr1 0.500 0.252 0.000
Pr2 0.167 0.418 0.333
Pr3 0.833 0.085 0.667
Pr4 0.167 0.915 0.333
Pr5 0.833 0.582 0.667
Pr6 0.500 0.748 0.000
Pm1 0.000 0.000 0.000

Summary:
Magnetization: 0.00 μB per formula unit
VASP energy: -4.630 eV per atom
Symmetry: Immm (71)

***

No. 13
Computed, not measured: a relaxed Pm6PrY2Tm crystal at the PBE level of DFT.

a = 9.538 Å, b = 8.948 Å, c = 8.948 Å
α = 116.25°, β = 92.86°, γ = 92.86°
Sites, in units of the cell vectors:
Pm1 0.315 0.996 0.443
Pm2 0.815 0.443 0.996
Pm3 0.385 0.523 0.293
Pm4 0.058 0.115 0.762
Pm5 0.685 0.004 0.557
Pm6 0.185 0.557 0.004
Pm7 0.885 0.293 0.523
Pm8 0.442 0.238 0.885
Pm9 0.558 0.762 0.115
Pm10 0.115 0.707 0.477
Pm11 0.942 0.885 0.238
Pm12 0.615 0.477 0.707
Y1 0.552 0.206 0.302
Y2 0.448 0.794 0.698
Y3 0.052 0.302 0.206
Y4 0.948 0.698 0.794
Tm1 0.750 0.588 0.412
Tm2 0.250 0.412 0.588
Pr1 0.750 0.035 0.965
Pr2 0.250 0.965 0.035

Summary:
Magnetization: 0.00 μB per formula unit
VASP energy: -4.951 eV per atom
Symmetry: C2/c (15)

***

No. 14
Computed, not measured: a relaxed PmPr5YTm2 crystal at the PBE level of DFT.

a = 5.669 Å, b = 10.716 Å, c = 10.794 Å
α = 90.00°, β = 90.00°, γ = 105.34°
Sites, in units of the cell vectors:
Pr1 0.483 0.965 0.744
Pr2 0.387 0.773 0.023
Pr3 0.014 0.028 0.018
Pr4 0.517 0.035 0.244
Pr5 0.986 0.972 0.518
Pr6 0.705 0.410 0.205
Pr7 0.279 0.559 0.311
Pr8 0.721 0.441 0.811
Pr9 0.613 0.227 0.523
Pr10 0.295 0.590 0.705
Tm1 0.112 0.223 0.741
Tm2 0.885 0.770 0.808
Tm3 0.115 0.230 0.308
Tm4 0.888 0.777 0.241
Y1 0.408 0.815 0.462
Y2 0.592 0.185 0.962
Pm1 0.800 0.599 0.511
Pm2 0.200 0.401 0.011

Summary:
Magnetization: 0.00 μB per formula unit
VASP energy: -4.746 eV per atom
Symmetry: Cmc2_1 (36)

***

No. 15
Computed, not measured: a relaxed PmPr2Y6Tm crystal at the PBE level of DFT.

a = 9.831 Å, b = 8.810 Å, c = 8.810 Å
α = 117.61°, β = 95.00°, γ = 95.00°
Sites, in units of the cell vectors:
Pr1 0.955 0.707 0.806
Pr2 0.545 0.194 0.293
Pr3 0.045 0.293 0.194
Pr4 0.455 0.806 0.707
Pm1 0.750 0.017 0.983
Pm2 0.250 0.983 0.017
Y1 0.943 0.879 0.259
Y2 0.187 0.573 0.017
Y3 0.117 0.702 0.492
Y4 0.057 0.121 0.741
Y5 0.687 0.017 0.573
Y6 0.557 0.741 0.121
Y7 0.617 0.492 0.702
Y8 0.383 0.508 0.298
Y9 0.443 0.259 0.879
Y10 0.883 0.298 0.508
Y11 0.313 0.983 0.427
Y12 0.813 0.427 0.983
Tm1 0.750 0.594 0.406
Tm2 0.250 0.406 0.594

Summary:
Magnetization: 0.00 μB per formula unit
VASP energy: -5.646 eV per atom
Symmetry: C2/c (15)

***

No. 16
Computed, not measured: a relaxed Pm2PrY6Tm3 crystal at the PBE level of DFT.

a = 6.199 Å, b = 6.199 Å, c = 11.831 Å
α = 95.00°, β = 95.00°, γ = 119.96°
Sites, in units of the cell vectors:
Pm1 0.333 0.667 0.000
Pm2 0.667 0.333 0.000
Tm1 0.833 0.167 0.500
Tm2 0.500 0.500 0.500
Tm3 0.167 0.833 0.500
Pr1 0.000 0.000 0.000
Y1 0.085 0.419 0.255
Y2 0.752 0.752 0.255
Y3 0.581 0.915 0.745
Y4 0.248 0.248 0.745
Y5 0.419 0.085 0.255
Y6 0.915 0.581 0.745

Summary:
Magnetization: 0.00 μB per formula unit
VASP energy: -5.517 eV per atom
Symmetry: C2/m (12)

***

No. 17
Computed, not measured: a relaxed Pm2PrY2Tm2 crystal at the PBE level of DFT.

a = 3.531 Å, b = 6.139 Å, c = 11.849 Å
α = 72.29°, β = 90.00°, γ = 106.71°
Sites, in units of the cell vectors:
Pr1 0.000 0.000 0.500
Pm1 0.328 0.655 0.085
Pm2 0.672 0.345 0.915
Tm1 0.774 0.548 0.363
Tm2 0.226 0.452 0.637
Y1 0.549 0.098 0.227
Y2 0.451 0.902 0.773

Summary:
Magnetization: 0.00 μB per formula unit
VASP energy: -5.075 eV per atom
Symmetry: C2/m (12)

***

No. 18
Computed, not measured: a relaxed PmPr6Y3Tm2 crystal at the PBE level of DFT.

a = 6.319 Å, b = 6.319 Å, c = 11.921 Å
α = 95.06°, β = 95.06°, γ = 120.00°
Sites, in units of the cell vectors:
Tm1 0.667 0.333 0.000
Tm2 0.333 0.667 0.000
Pr1 0.250 0.250 0.751
Pr2 0.582 0.916 0.751
Pr3 0.916 0.582 0.751
Pr4 0.418 0.084 0.249
Pr5 0.750 0.750 0.249
Pr6 0.084 0.418 0.249
Pm1 0.000 0.000 0.000
Y1 0.833 0.167 0.500
Y2 0.167 0.833 0.500
Y3 0.500 0.500 0.500

Summary:
Magnetization: 0.00 μB per formula unit
VASP energy: -5.136 eV per atom
Symmetry: C2/m (12)

***

No. 19
Computed, not measured: a relaxed PmPr2YTm crystal at the PBE level of DFT.

a = 7.159 Å, b = 8.756 Å, c = 8.757 Å
α = 140.96°, β = 90.00°, γ = 90.00°
Sites, in units of the cell vectors:
Pr1 0.000 0.809 0.191
Pr2 0.000 0.191 0.809
Pr3 0.500 0.191 0.809
Pr4 0.500 0.809 0.191
Y1 0.250 0.001 0.001
Y2 0.750 0.999 0.999
Tm1 0.750 0.614 0.385
Tm2 0.250 0.386 0.615
Pm1 0.250 0.611 0.390
Pm2 0.750 0.389 0.610

Summary:
Magnetization: 0.00 μB per formula unit
VASP energy: -4.914 eV per atom
Symmetry: P2_1/m (11)